DFT (GGA-PBE) results for an optimized crystal structure of Rb2LaZnF6.

a b c (Å): 6.643 6.643 6.643
angles (deg): 60.00 60.00 60.00
Atoms (fractional coordinates):
Rb1 0.250 0.250 0.250
Rb2 0.750 0.750 0.750
La1 0.000 0.000 0.000
Zn1 0.500 0.500 0.500
F1 0.247 0.247 0.753
F2 0.247 0.753 0.247
F3 0.247 0.753 0.753
F4 0.753 0.247 0.247
F5 0.753 0.247 0.753
F6 0.753 0.753 0.247

Output
uncorrected formation energy = -2.888 eV/atom
density = 3.919 g/cm3
total DFT energy (no corrections) = -48.246 eV/cell



DFT (GGA-PBE) results for an optimized crystal structure of La2ReF2.

a b c (Å): 7.727 7.727 3.039
angles (deg): 90.00 90.00 90.00
Atoms (fractional coordinates):
La1 0.194 0.306 0.000
La2 0.306 0.806 0.000
La3 0.694 0.194 0.000
La4 0.806 0.694 0.000
Re1 0.000 0.000 0.500
Re2 0.500 0.500 0.500
F1 0.110 0.610 0.500
F2 0.390 0.110 0.500
F3 0.610 0.890 0.500
F4 0.890 0.390 0.500

Output
uncorrected formation energy = -1.480 eV/atom
density = 9.191 g/cm3
polymorph energy (0 for the lowest one) = 0 meV per atom
total DFT energy (no corrections) = -66.890 eV/cell



DFT (GGA-PBE) results for an optimized crystal structure of LaReF.

a b c (Å): 3.280 3.280 9.995
angles (deg): 90.00 90.00 90.00
Atoms (fractional coordinates):
La1 0.250 0.250 0.200
La2 0.750 0.750 0.800
Re1 0.250 0.250 0.558
Re2 0.750 0.750 0.442
F1 0.250 0.250 0.925
F2 0.750 0.750 0.075

Output
uncorrected formation energy = -1.542 eV/atom
density = 10.626 g/cm3
polymorph energy (0 for the lowest one) = 0 meV per atom
total DFT energy (no corrections) = -47.744 eV/cell



DFT (GGA-PBE) results for an optimized crystal structure of La2ReF.

a b c (Å): 4.959 4.959 4.959
angles (deg): 60.00 60.00 60.00
Atoms (fractional coordinates):
La1 0.250 0.250 0.250
La2 0.750 0.750 0.750
Re1 0.000 0.000 0.000
F1 0.500 0.500 0.500

Output
uncorrected formation energy = -0.708 eV/atom
density = 9.299 g/cm3
polymorph energy (0 for the lowest one) = 102 meV per atom
total DFT energy (no corrections) = -27.004 eV/cell



Please write out number 4 again, unchanged.
DFT (GGA-PBE) results for an optimized crystal structure of La2ReF.

a b c (Å): 4.959 4.959 4.959
angles (deg): 60.00 60.00 60.00
Atoms (fractional coordinates):
La1 0.250 0.250 0.250
La2 0.750 0.750 0.750
Re1 0.000 0.000 0.000
F1 0.500 0.500 0.500

Output
uncorrected formation energy = -0.708 eV/atom
density = 9.299 g/cm3
polymorph energy (0 for the lowest one) = 102 meV per atom
total DFT energy (no corrections) = -27.004 eV/cell



Among the records above, which one has the lowest uncorrected formation energy? Rb2LaZnF6